The following is a DFT calculation (GGA-PBE) of a relaxed structure of Mg8Sn.

Geometry as extended XYZ:
```
9
Lattice="-5.018 3.487 -3.693 3.406 -2.605 -5.708 -4.253 -1.821 5.438" Properties=species:S:1:pos:R:3 pbc="T T T"
Mg -0.538 0.294 -3.137
Mg -1.703 -2.082 1.728
Mg -3.622 0.848 -2.549
Mg -2.242 -1.787 -1.415
Mg 0.857 -2.344 -1.998
Mg -6.177 1.111 1.163
Mg -1.074 0.588 -6.264
Mg -3.094 0.556 0.582
Sn 0.000 0.000 0.000
```

## Properties
The mass density is 2.5 g/cm3. The density of states at the Fermi level is 2.77 states/eV/cell. The energy of formation is -0.06 eV per atom. As for the symmetry: I4/mmm.